Record 1
# Sc4TeH, optimized geometry, DFT PBE-GGA
data_Sc4TeH
_symmetry_space_group_name_H-M 'C 1 2/c 1'
_symmetry_Int_Tables_number 15
_cell_length_a 8.767
_cell_length_b 13.189
_cell_length_c 6.191
_cell_angle_alpha 90.00
_cell_angle_beta 134.80
_cell_angle_gamma 90.00
loop_
_symmetry_equiv_pos_as_xyz
'x,y,z'
'-x,-y,-z'
'-x,y,-z+1/2'
'x,-y,z+1/2'
'x+1/2,y+1/2,z'
'-x+1/2,-y+1/2,-z'
'-x+1/2,y+1/2,-z+1/2'
'x+1/2,-y+1/2,z+1/2'
loop_
_atom_site_label
_atom_site_type_symbol
_atom_site_fract_x
_atom_site_fract_y
_atom_site_fract_z
Sc1 Sc 0.141 0.204 0.163
Sc2 Sc 0.226 0.046 0.617
Te1 Te 0.000 0.376 0.750
H1 H 0.000 0.125 0.250
# V, Å³/atom: 21.16
# Calculated total energy, eV/atom: -5.773

Record 2
# BeMoHRh2, optimized geometry, DFT PBE-GGA
data_BeMoHRh2
_symmetry_space_group_name_H-M 'P 4/m m m'
_symmetry_Int_Tables_number 123
_symmetry_space_group_name_Hall '-P 4 2'
_cell_length_a 3.851
_cell_length_b 3.851
_cell_length_c 3.803
_cell_angle_alpha 90.00
_cell_angle_beta 90.00
_cell_angle_gamma 90.00
loop_
_atom_site_label
_atom_site_type_symbol
_atom_site_fract_x
_atom_site_fract_y
_atom_site_fract_z
Be1 Be 0.000 0.000 0.000
Mo1 Mo 0.500 0.500 0.000
H1 H 0.000 0.000 0.500
Rh1 Rh 0.000 0.500 0.500
# V, Å³/atom: 11.28
# Polymorph energy (0 for the lowest one), meV/atom: 0.0
# Calculated total energy, eV/atom: -6.423

Record 3
# ZrTe6Br12, optimized geometry, DFT PBE-GGA
data_ZrTe6Br12
_symmetry_space_group_name_H-M 'R -3'
_symmetry_Int_Tables_number 148
_symmetry_space_group_name_Hall '-R 3'
_cell_length_a 11.4739
_cell_length_b 11.4739
_cell_length_c 19.2422
_cell_angle_alpha 90.00
_cell_angle_beta 90.00
_cell_angle_gamma 120.00
loop_
_atom_site_label
_atom_site_type_symbol
_atom_site_fract_x
_atom_site_fract_y
_atom_site_fract_z
Zr1 Zr 0.0000 0.0000 0.0000
Te1 Te 0.0560 0.8910 0.6829
Br1 Br 0.0273 0.2008 0.9195
Br2 Br 0.0428 0.2665 0.4244
# V, Å³/atom: 38.49
# Energy relative to the elements, uncorrected, eV per atom: -0.45
# Calculated total energy, eV/atom: -2.946